Entry from Alexandria via LeMat-Bulk: Pm5PuSn3 after structural relaxation (PBE).

Cell and atoms, written as POSCAR:
```
Pm5PuSn3
1.0
-7.092 -1.958 3.899
4.119 -0.548 7.216
0.136 8.828 -4.212
Pm Sn Pu
10 6 2
Direct
0.000 0.000 0.000
0.837 0.936 0.274
0.564 0.663 0.726
0.500 0.500 0.000
0.436 0.337 0.274
0.936 0.436 0.274
0.163 0.064 0.726
0.663 0.163 0.726
0.064 0.564 0.726
0.337 0.837 0.274
0.618 0.118 0.000
0.382 0.882 0.000
0.118 0.382 0.000
0.750 0.750 0.500
0.882 0.618 0.000
0.250 0.250 0.500
0.250 0.750 0.500
0.750 0.250 0.500
```

Symmetry = I4/mcm
E_form = -0.3089 eV per atom
ρ = 8.13 g cm⁻³

=====

Entry from Alexandria via LeMat-Bulk: Pm5PuSn4 after structural relaxation (PBE).

Cell and atoms, written as POSCAR:
```
Pm5PuSn4
1.0
-1.295 4.843 6.439
0.251 -8.271 6.271
7.523 0.876 0.854
Pm Sn Pu
10 8 2
Direct
0.449 0.000 0.500
0.779 0.787 0.268
0.551 0.500 0.000
0.779 0.213 0.732
0.221 0.287 0.768
0.221 0.287 0.232
0.779 0.787 0.732
0.221 0.713 0.768
0.221 0.713 0.232
0.779 0.213 0.268
0.493 0.845 0.000
0.091 0.000 0.303
0.507 0.345 0.500
0.091 0.000 0.697
0.507 0.655 0.500
0.909 0.500 0.803
0.493 0.155 0.000
0.909 0.500 0.197
0.156 0.500 0.500
0.844 0.000 0.000
```

Symmetry = Pmmn
E_form = -0.2052 eV per atom
ρ = 7.43 g cm⁻³

=====

Entry from Alexandria via LeMat-Bulk: PmPuSn6 after structural relaxation (PBE).

Cell and atoms, written as POSCAR:
```
PmPuSn6
1.0
-3.895 -2.603 -0.632
2.343 -3.850 1.425
-2.575 1.706 8.840
Sn Pm Pu
6 1 1
Direct
0.500 0.500 0.500
0.000 0.500 0.255
0.000 0.500 0.745
0.500 0.500 0.000
0.500 0.000 0.255
0.500 0.000 0.745
0.000 0.000 0.000
0.000 0.000 0.500
```

Symmetry = P4/mmm
E_form = -0.4290 eV per atom
ρ = 8.74 g cm⁻³

=====

Entry from Alexandria via LeMat-Bulk: Pm12PuSn7 after structural relaxation (PBE).

Cell and atoms, written as POSCAR:
```
Pm12PuSn7
1.0
9.514 -0.407 -0.610
-3.036 9.026 -0.610
-3.036 -4.039 8.095
Sn Pm Pu
7 12 1
Direct
0.500 0.500 0.500
0.861 0.861 0.545
0.139 0.455 0.139
0.455 0.139 0.139
0.139 0.139 0.455
0.861 0.545 0.861
0.545 0.861 0.861
0.000 0.728 0.272
0.000 0.272 0.728
0.508 0.508 0.838
0.492 0.492 0.162
0.508 0.838 0.508
0.272 0.000 0.728
0.272 0.728 0.000
0.838 0.508 0.508
0.492 0.162 0.492
0.162 0.492 0.492
0.728 0.000 0.272
0.728 0.272 0.000
0.000 0.000 0.000
```

Symmetry = R-3m
E_form = -0.3869 eV per atom
ρ = 7.34 g cm⁻³

=====

Entry from Alexandria via LeMat-Bulk: PmPuThSn after structural relaxation (PBE).

Cell and atoms, written as POSCAR:
```
PmPuThSn
1.0
-4.472 1.238 -2.823
-2.156 -3.640 -3.406
-4.725 -2.388 1.213
Pm Sn Th Pu
1 1 1 1
Direct
0.250 0.250 0.250
0.500 0.500 0.500
0.000 0.000 0.000
0.750 0.750 0.750
```

Symmetry = F-43m
E_form = -0.0795 eV per atom
ρ = 10.84 g cm⁻³

=====

Entry from Alexandria via LeMat-Bulk: PmPuTlSn after structural relaxation (PBE).

Cell and atoms, written as POSCAR:
```
PmPuTlSn
1.0
5.434 0.000 0.000
2.717 4.706 0.000
2.717 1.569 4.437
Pm Sn Tl Pu
1 1 1 1
Direct
0.000 0.000 0.000
0.250 0.250 0.250
0.750 0.750 0.750
0.500 0.500 0.500
```

Symmetry = F-43m
E_form = -0.3104 eV per atom
ρ = 10.42 g cm⁻³

=====

Entry from Alexandria via LeMat-Bulk: PmTmPuSn after structural relaxation (PBE).

Cell and atoms, written as POSCAR:
```
PmTmPuSn
1.0
5.430 0.000 0.000
2.715 4.703 0.000
2.715 1.568 4.434
Pu Pm Sn Tm
1 1 1 1
Direct
0.000 0.000 0.000
0.500 0.500 0.500
0.250 0.250 0.250
0.750 0.750 0.750
```

Symmetry = F-43m
E_form = -0.1354 eV per atom
ρ = 9.92 g cm⁻³

=====

Entry from Alexandria via LeMat-Bulk: PmPuZnSn after structural relaxation (PBE).

Cell and atoms, written as POSCAR:
```
PmPuZnSn
1.0
-3.586 -3.381 1.931
-0.136 -4.996 -1.744
1.528 -3.953 3.171
Pm Sn Zn Pu
1 1 1 1
Direct
0.250 0.250 0.250
0.500 0.500 0.500
0.000 0.000 0.000
0.750 0.750 0.750
```

Symmetry = F-43m
E_form = -0.3260 eV per atom
ρ = 9.07 g cm⁻³

=====

Entry from Alexandria via LeMat-Bulk: PmPu2Zn2Sn2 after structural relaxation (PBE).

Cell and atoms, written as POSCAR:
```
PmPu2Zn2Sn2
1.0
4.634 0.000 0.000
2.317 4.013 0.000
2.317 1.338 9.141
Pu Sn Zn Pm
2 2 2 1
Direct
0.145 0.145 0.566
0.855 0.855 0.434
0.735 0.735 0.796
0.265 0.265 0.204
0.574 0.574 0.279
0.426 0.426 0.721
0.000 0.000 0.000
```

Symmetry = R-3m
E_form = -0.2616 eV per atom
ρ = 9.78 g cm⁻³

=====

Entry from Alexandria via LeMat-Bulk: SrPm2Pu after structural relaxation (PBE).

Cell and atoms, written as POSCAR:
```
SrPm2Pu
1.0
-2.831 0.645 -2.244
-2.141 -2.125 2.089
-2.711 8.495 5.862
Pm Sr Pu
2 1 1
Direct
0.000 0.000 0.217
0.000 0.000 0.783
0.500 0.500 0.500
0.500 0.500 0.000
```

Symmetry = P4/mmm
E_form = 0.1841 eV per atom
ρ = 7.18 g cm⁻³

=====

Entry from Alexandria via LeMat-Bulk: Sr3Pm2PuTe6 after structural relaxation (PBE).

Cell and atoms, written as POSCAR:
```
Sr3Pm2PuTe6
1.0
4.555 0.000 0.000
0.000 9.255 0.239
-2.277 -2.762 9.676
Te Pm Sr Pu
6 2 3 1
Direct
0.669 0.577 0.339
0.997 0.757 0.994
0.331 0.423 0.661
0.336 0.909 0.671
0.664 0.091 0.329
0.003 0.243 0.006
0.833 0.666 0.667
0.167 0.334 0.333
0.500 0.500 0.000
0.166 0.834 0.333
0.834 0.166 0.667
0.500 0.000 0.000
```

Symmetry = C2/m
E_form (uncorrected) = -34.31 kcal/mol of atoms
ρ = 6.31 g cm⁻³

=====

Entry from Alexandria via LeMat-Bulk: TbPm2Pu after structural relaxation (PBE).

Cell and atoms, written as POSCAR:
```
TbPm2Pu
1.0
3.550 0.000 0.000
0.000 3.550 0.000
0.000 0.000 10.179
Tb Pm Pu
1 2 1
Direct
0.500 0.500 0.000
0.000 0.000 0.255
0.000 0.000 0.745
0.500 0.500 0.500
```

Symmetry = P4/mmm
Energy above the lowest structure with this stoichiometry = 0 kJ/mol of formula units
E_form = 0.1108 eV per atom
ρ = 8.97 g cm⁻³

=====

Entry from Alexandria via LeMat-Bulk: Tb3Pm3Pu after structural relaxation (PBE).

Cell and atoms, written as POSCAR:
```
Tb3Pm3Pu
1.0
5.906 0.000 1.898
2.648 5.279 1.898
-1.429 -0.882 14.584
Tb Pm Pu
6 6 2
Direct
0.396 0.063 0.811
0.730 0.396 0.811
0.604 0.937 0.189
0.063 0.730 0.811
0.937 0.270 0.189
0.270 0.604 0.189
0.869 0.538 0.393
0.131 0.462 0.607
0.462 0.800 0.607
0.200 0.869 0.393
0.800 0.131 0.607
0.538 0.200 0.393
0.667 0.667 0.000
0.333 0.333 0.000
```

Symmetry = R-3
E_form = 0.2078 eV per atom
ρ = 8.09 g cm⁻³

=====

Entry from Alexandria via LeMat-Bulk: Tb8Pm6Pu after structural relaxation (PBE).

Cell and atoms, written as POSCAR:
```
Tb8Pm6Pu
1.0
-7.690 -2.103 -3.359
0.118 -5.101 -6.986
-2.600 -8.170 1.156
Pm Pu Tb
6 1 8
Direct
0.455 0.776 0.892
0.545 0.224 0.108
0.108 0.545 0.224
0.892 0.455 0.776
0.776 0.892 0.455
0.224 0.108 0.545
0.000 0.000 0.000
0.423 0.423 0.423
0.752 0.111 0.717
0.283 0.248 0.889
0.248 0.889 0.283
0.717 0.752 0.111
0.577 0.577 0.577
0.889 0.283 0.248
0.111 0.717 0.752
```

Symmetry = R-3
E_form = 0.1138 eV per atom
ρ = 8.02 g cm⁻³

=====

Entry from Alexandria via LeMat-Bulk: Tb8Pm3Pu after structural relaxation (PBE).

Cell and atoms, written as POSCAR:
```
Tb8Pm3Pu
1.0
2.799 4.626 -6.402
-1.269 -8.166 -1.389
-7.815 1.415 2.672
Tb Pm Pu
8 3 1
Direct
0.251 0.359 0.359
0.749 0.108 0.108
0.538 0.739 0.739
0.462 0.200 0.200
0.000 0.261 0.800
0.000 0.892 0.641
0.000 0.641 0.892
0.000 0.800 0.261
0.500 0.750 0.250
0.000 0.500 0.500
0.500 0.250 0.750
0.000 0.000 0.000
```

Symmetry = I-42m
E_form = 0.5605 eV per atom
ρ = 7.53 g cm⁻³

=====

Entry from Alexandria via LeMat-Bulk: Tb4Pm6Pu after structural relaxation (PBE).

Cell and atoms, written as POSCAR:
```
Tb4Pm6Pu
1.0
-1.017 -3.364 -0.640
5.082 -1.653 10.588
-15.440 3.167 7.904
Pm Tb Pu
12 8 2
Direct
0.500 0.000 0.000
0.987 0.975 0.838
0.500 0.000 0.500
0.242 0.483 0.918
0.987 0.975 0.662
0.758 0.517 0.418
0.013 0.025 0.338
0.250 0.499 0.250
0.750 0.501 0.750
0.758 0.517 0.082
0.242 0.483 0.582
0.013 0.025 0.162
0.871 0.741 0.547
0.383 0.765 0.360
0.617 0.235 0.640
0.871 0.741 0.953
0.617 0.235 0.860
0.129 0.259 0.453
0.129 0.259 0.047
0.383 0.765 0.140
0.626 0.253 0.250
0.374 0.747 0.750
```

Symmetry = Cmcm
E_form = 0.1720 eV per atom
ρ = 7.87 g cm⁻³

=====

Entry from Alexandria via LeMat-Bulk: Tb4Pm10Pu after structural relaxation (PBE).

Cell and atoms, written as POSCAR:
```
Tb4Pm10Pu
1.0
9.640 0.000 4.353
4.820 6.953 2.176
1.959 0.000 8.513
Pm Tb Pu
10 4 1
Direct
0.869 0.905 0.674
0.250 0.500 0.500
0.131 0.095 0.326
0.750 0.500 0.500
0.543 0.326 0.905
0.552 0.905 0.674
0.457 0.674 0.095
0.774 0.674 0.095
0.448 0.095 0.326
0.226 0.326 0.905
0.942 0.383 0.733
0.058 0.617 0.267
0.325 0.733 0.617
0.675 0.267 0.383
0.000 0.000 0.000
```

Symmetry = I4/m
E_form = 0.3498 eV per atom
ρ = 7.57 g cm⁻³

=====

Entry from Alexandria via LeMat-Bulk: Tb5Pm8Pu after structural relaxation (PBE).

Cell and atoms, written as POSCAR:
```
Tb5Pm8Pu
1.0
-4.415 6.059 -0.515
5.456 -1.586 -8.247
-6.259 -4.153 0.220
Tb Pm Pu
5 8 1
Direct
0.184 0.996 0.896
0.742 0.672 0.717
0.900 0.004 0.188
0.045 0.328 0.070
0.441 0.000 0.441
0.053 0.696 0.083
0.211 0.670 0.533
0.863 0.330 0.542
0.573 0.975 0.913
0.562 0.671 0.232
0.386 0.304 0.356
0.938 0.025 0.598
0.561 0.329 0.890
0.292 0.500 0.792
```

Symmetry = C2
E_form = 0.2195 eV per atom
ρ = 7.69 g cm⁻³

=====

Entry from Alexandria via LeMat-Bulk: TbPmPu after structural relaxation (PBE).

Cell and atoms, written as POSCAR:
```
TbPmPu
1.0
3.540 0.000 0.000
0.000 3.540 0.000
-1.770 -1.770 7.482
Pm Pu Tb
1 1 1
Direct
0.619 0.619 0.238
0.285 0.285 0.569
0.946 0.946 0.893
```

Symmetry = I4mm
Energy above the lowest structure with this stoichiometry = 0 kJ/mol of formula units
E_form = 0.1216 eV per atom
ρ = 9.71 g cm⁻³

=====

Entry from Alexandria via LeMat-Bulk: Tb4Pm8Pu after structural relaxation (PBE).

Cell and atoms, written as POSCAR:
```
Tb4Pm8Pu
1.0
-0.261 6.966 3.593
1.218 -3.524 6.899
7.742 0.783 -0.979
Tb Pu Pm
4 1 8
Direct
0.500 0.000 0.500
0.000 0.500 0.500
0.500 0.500 0.000
0.000 0.000 0.000
0.500 0.500 0.500
0.243 0.243 0.243
0.757 0.757 0.243
0.243 0.757 0.757
0.757 0.243 0.243
0.757 0.243 0.757
0.243 0.243 0.757
0.757 0.757 0.757
0.243 0.757 0.243
```

Symmetry = R-3m
E_form = 0.4997 eV per atom
ρ = 7.02 g cm⁻³